No. 1
## Nd2Sm2CI3Cl2 (PBE)

Data for a relaxed Nd2Sm2CI3Cl2 crystal.

Results
Energy relative to the lowest polymorph listed for this composition: 0.000 eV/atom
Total DFT energy (no corrections): -5.01 eV per atom

abc: 18.7916 4.0213 8.7680
angles: 90.00 100.67 90.00
Last column: nearest neighbours and their distance in Å.
Space group C2/m (No. 12)
One atom of each set of equivalent atoms:
Nd 0.0017 0.0000 0.3040 x4  2 C 2.65, 1 Cl 2.85
Sm 0.1342 0.5000 0.5654 x4  1 C 2.48
C 0.0000 0.5000 0.5000 x2  2 Sm 2.48, 4 Nd 2.65
I 0.0000 0.5000 0.0000 x2  4 Nd 3.33
I 0.1754 0.0000 0.3163 x4  3 Sm 3.17-3.54, 1 Nd 3.24
Cl 0.1516 0.0000 0.7916 x4  2 Sm 2.80, 1 Nd 2.85

***

No. 2
## TbBePO (PBE)

Data for a relaxed TbBePO crystal.

Results
Energy relative to the lowest polymorph listed for this composition: 1.434 eV/atom
Total DFT energy (no corrections): -5.15 eV per atom

abc: 3.9563 3.9563 9.0651
angles: 90.00 90.00 90.00
Last column: nearest neighbours and their distance in Å.
Space group P4/nmm (No. 129, origin choice 2)
One atom of each set of equivalent atoms:
Tb 0.2500 0.7500 0.0000 x2  4 P 2.68, 4 Tb 2.80
Be 0.2500 0.2500 0.4902 x2  4 O 1.98
P 0.2500 0.2500 0.1994 x2  1 Be 2.64, 4 Tb 2.68
O 0.2500 0.7500 0.5000 x2  4 Be 1.98

***

No. 3
## ZnPbNO (PBE)

Data for a relaxed ZnPbNO crystal.

Results
Energy relative to the lowest polymorph listed for this composition: 0.002 eV/atom
Total DFT energy (no corrections): -4.79 eV per atom

abc: 3.5997 6.0100 5.6701
angles: 90.00 90.00 90.00
Last column: nearest neighbours and their distance in Å.
Space group Pmc2_1 (No. 26)
One atom of each set of equivalent atoms:
Zn 0.0000 0.1807 0.0000 x2  2 N 2.02, 2 O 2.05-2.08
Pb 0.5000 0.3192 0.5096 x2  2 O 2.27, 2 N 2.29
N 0.5000 0.3100 0.9133 x2  2 Zn 2.02
O 0.0000 0.1348 0.3628 x2  2 Zn 2.05-2.08, 2 Pb 2.27

***

No. 4
## Er2ThHg2 (PBE)

Data for a relaxed Er2ThHg2 crystal.

Results
Energy of formation: -1.38 eV/f.u.
Total DFT energy (no corrections): -3.70 eV per atom

abc: 8.1087 8.8169 3.7872
angles: 90.00 90.00 90.00
Last column: nearest neighbours and their distance in Å.
Space group Pbam (No. 55)
One atom of each set of equivalent atoms:
Er 0.1711 0.1688 0.0000 x4  6 Hg 3.07-3.25
Th 0.0000 0.5000 0.5000 x2  4 Hg 3.21-3.44, 4 Er 3.59
Hg 0.1289 0.8718 0.5000 x4  6 Er 3.07-3.25, 1 Hg 3.08, 1 Th 3.21

***

No. 5
## HoMgAgTeSe2 (PBE)

Data for a relaxed HoMgAgTeSe2 crystal.

Results
Total DFT energy (no corrections): -4.16 eV per atom

abc: 3.9620 13.6222 11.0964
angles: 90.00 90.00 90.00
Last column: nearest neighbours and their distance in Å.
Space group Cmcm (No. 63)
One atom of each set of equivalent atoms:
Ho 0.0000 0.0000 0.0000 x4  4 Se 2.87
Mg 0.0000 0.2042 0.2500 x4  4 Se 2.94, 2 Te 3.05, 2 Ag 3.21
Ag 0.0000 0.4816 0.7500 x4  2 Se 2.61, 2 Te 2.79
Te 0.0000 0.1261 0.7500 x4  2 Ag 2.79, 2 Mg 3.05
Se 0.0000 0.3582 0.5696 x8  1 Ag 2.61, 2 Ho 2.87

***

No. 6
## ZrNiBPd (PBE)

Data for a relaxed ZrNiBPd crystal.

Results
Energy relative to the lowest polymorph listed for this composition: 0.000 eV/atom
Total DFT energy (no corrections): -6.59 eV per atom

abc: 5.9776 5.9776 5.9776
angles: 90.00 90.00 90.00
Last column: nearest neighbours and their distance in Å.
Space group F-43m (No. 216)
One atom of each set of equivalent atoms:
Zr 0.0000 0.0000 0.0000 x4  4 Ni 2.59, 4 B 2.59
Ni 0.2500 0.2500 0.7500 x4  4 Zr 2.59, 4 Pd 2.59
B 0.2500 0.2500 0.2500 x4  4 Zr 2.59, 4 Pd 2.59
Pd 0.0000 0.0000 0.5000 x4  4 Ni 2.59, 4 B 2.59

***

No. 7
## NaZrCuTe3 (PBE)

Data for a relaxed NaZrCuTe3 crystal.

Results
Energy relative to the lowest polymorph listed for this composition: 0.001 eV/atom
Total DFT energy (no corrections): -4.56 eV per atom

abc: 14.5763 4.0800 11.0407
angles: 90.00 90.00 90.00
Last column: nearest neighbours and their distance in Å.
Space group Pnma (No. 62)
One atom of each set of equivalent atoms:
Na 0.2264 0.2500 0.0498 x4  6 Te 3.21-3.25
Zr 0.0107 0.2500 0.3173 x4  6 Te 2.82-3.03
Cu 0.0085 0.7500 0.0934 x4  4 Te 2.63-2.72, 2 Cu 2.91
Te 0.1039 0.2500 0.5628 x4  3 Zr 2.95-3.03, 2 Na 3.21
Te 0.1075 0.7500 0.8851 x4  3 Cu 2.66-2.72, 1 Zr 2.82
Te 0.1436 0.7500 0.2517 x4  1 Cu 2.63, 2 Zr 2.90

***

No. 8
## WSe2 (PBE)

Data for a relaxed WSe2 crystal.

Results
Total DFT energy (no corrections): -7.20 eV per atom

abc: 3.3245 3.3245 27.4029
angles: 90.00 90.00 120.00
Last column: nearest neighbours and their distance in Å.
Space group P-6m2 (No. 187)
One atom of each set of equivalent atoms:
W 0.0000 0.0000 0.0000 x1  6 Se 2.55
W 0.0000 0.0000 0.2503 x2  6 Se 2.55
W 0.6667 0.3333 0.5000 x1  6 Se 2.55
Se 0.0000 0.0000 0.4387 x2  3 W 2.55
Se 0.3333 0.6667 0.1890 x2  3 W 2.55
Se 0.3333 0.6667 0.3115 x2  3 W 2.55
Se 0.6667 0.3333 0.0612 x2  3 W 2.55